Record 1
# Ta3PbCN PBE-GGA optimized geometry
data_Ta3PbCN
_chemical_formula_sum 'Ta6 Pb2 C2 N2'
_symmetry_space_group_name_H-M 'P 1'
_symmetry_Int_Tables_number 1
_symmetry_space_group_name_Hall 'P 1'
_cell_length_a 3.1897
_cell_length_b 3.1897
_cell_length_c 19.7001
_cell_angle_alpha 90.00
_cell_angle_beta 90.00
_cell_angle_gamma 120.00
loop_
_atom_site_label
_atom_site_type_symbol
_atom_site_fract_x
_atom_site_fract_y
_atom_site_fract_z
_atom_site_occupancy
Ta1 Ta 0.0000 0.0000 0.0000 1
Ta2 Ta 0.0000 0.0000 0.5000 1
Ta3 Ta 0.3333 0.6667 0.1234 1
Ta4 Ta 0.3333 0.6667 0.3743 1
Ta5 Ta 0.6667 0.3333 0.6257 1
Ta6 Ta 0.6667 0.3333 0.8766 1
Pb1 Pb 0.0000 0.0000 0.2482 1
Pb2 Pb 0.0000 0.0000 0.7518 1
C1 C 0.3333 0.6667 0.5666 1
C2 C 0.6667 0.3333 0.4334 1
N1 N 0.3333 0.6667 0.9381 1
N2 N 0.6667 0.3333 0.0619 1
# **SG**: P-3m1, No. 164
# **Total energy**: -9.795 eV per atom

---

Record 2
# PbW3CN PBE-GGA optimized geometry
data_PbW3CN
_chemical_formula_sum 'Pb2 W6 C2 N2'
_symmetry_space_group_name_H-M 'P 1'
_symmetry_Int_Tables_number 1
_symmetry_space_group_name_Hall 'P 1'
_cell_length_a 3.2357
_cell_length_b 3.2357
_cell_length_c 18.4773
_cell_angle_alpha 90.00
_cell_angle_beta 90.00
_cell_angle_gamma 120.00
loop_
_atom_site_label
_atom_site_type_symbol
_atom_site_fract_x
_atom_site_fract_y
_atom_site_fract_z
_atom_site_occupancy
Pb1 Pb 0.0000 0.0000 0.2461 1
Pb2 Pb 0.0000 0.0000 0.7539 1
W1 W 0.0000 0.0000 0.0000 1
W2 W 0.0000 0.0000 0.5000 1
W3 W 0.3333 0.6667 0.1166 1
W4 W 0.3333 0.6667 0.3770 1
W5 W 0.6667 0.3333 0.6230 1
W6 W 0.6667 0.3333 0.8834 1
C1 C 0.3333 0.6667 0.5694 1
C2 C 0.6667 0.3333 0.4306 1
N1 N 0.3333 0.6667 0.9383 1
N2 N 0.6667 0.3333 0.0617 1
# **SG**: P-3m1, No. 164
# **Total energy**: -9.523 eV per atom

---

Record 3
# Zr8Pb2C3N3 PBE-GGA optimized geometry
data_Zr8Pb2C3N3
_chemical_formula_sum 'Zr8 Pb2 C3 N3'
_symmetry_space_group_name_H-M 'P 1'
_symmetry_Int_Tables_number 1
_symmetry_space_group_name_Hall 'P 1'
_cell_length_a 3.3362
_cell_length_b 3.3362
_cell_length_c 25.6439
_cell_angle_alpha 90.00
_cell_angle_beta 90.00
_cell_angle_gamma 120.00
loop_
_atom_site_label
_atom_site_type_symbol
_atom_site_fract_x
_atom_site_fract_y
_atom_site_fract_z
_atom_site_occupancy
Zr1 Zr 0.0000 0.0000 0.1508 1
Zr2 Zr 0.0000 0.0000 0.3463 1
Zr3 Zr 0.0000 0.0000 0.6537 1
Zr4 Zr 0.0000 0.0000 0.8492 1
Zr5 Zr 0.3333 0.6667 0.5512 1
Zr6 Zr 0.3333 0.6667 0.9472 1
Zr7 Zr 0.6667 0.3333 0.0528 1
Zr8 Zr 0.6667 0.3333 0.4488 1
Pb1 Pb 0.3333 0.6667 0.7514 1
Pb2 Pb 0.6667 0.3333 0.2486 1
C1 C 0.0000 0.0000 0.5000 1
C2 C 0.3333 0.6667 0.3919 1
C3 C 0.6667 0.3333 0.6081 1
N1 N 0.0000 0.0000 0.0000 1
N2 N 0.3333 0.6667 0.1020 1
N3 N 0.6667 0.3333 0.8980 1
# **SG**: P-3m1, No. 164
# **Total energy**: -9.062 eV per atom